Record 1
Co3Pt5 (PBE, optimized geometry); formation energy from the elements = 0.165 eV per atom; D(E_F) = 22.4 states/eV/cell; calculated total energy = -100.405 eV for the cell shown
1.0
7.298 0.000 0.000
-3.649 6.320 0.000
0.000 0.000 5.056
Co Pt
6 10
Direct
0.000 0.412 0.250
0.000 0.588 0.750
0.412 0.000 0.250
0.412 0.412 0.750
0.588 0.000 0.750
0.588 0.588 0.250
0.000 0.224 0.750
0.000 0.776 0.250
0.224 0.000 0.750
0.224 0.224 0.250
0.333 0.667 0.000
0.333 0.667 0.500
0.667 0.333 0.000
0.667 0.333 0.500
0.776 0.000 0.250
0.776 0.776 0.750


Record 2
PrPaN (PBE, optimized geometry); E_form (uncorrected) = 0.035 eV/atom; D(E_F) = 5.1 states/eV/cell; energy relative to the lowest polymorph listed for this composition = 2.39 eV per formula unit; calculated total energy = -22.495 eV for the cell shown
1.0
0.000 3.094 3.094
3.094 0.000 3.094
3.094 3.094 0.000
Pr Pa N
1 1 1
Direct
0.000 0.000 0.000
0.500 0.500 0.500
0.250 0.250 0.250


Record 3
K2As (PBE, optimized geometry); formation energy from the elements = -0.202 eV per atom; D(E_F) = 1.5 states/eV/cell; calculated total energy = -7.451 eV for the cell shown
1.0
5.500 0.000 0.000
-2.750 4.763 0.000
0.000 0.000 3.418
K As
2 1
Direct
0.333 0.667 0.454
0.667 0.333 0.546
0.000 0.000 0.000


Record 4
Cr2CoTc (PBE, optimized geometry); formation energy from the elements = 0.130 eV per atom; D(E_F) = 3.6 states/eV/cell; calculated total energy = -36.198 eV for the cell shown
1.0
2.984 0.000 0.000
0.000 4.066 0.000
0.000 0.000 4.114
Cr Co Tc
2 1 1
Direct
0.000 0.000 0.000
0.500 0.000 0.500
0.000 0.500 0.500
0.500 0.500 0.000